No. 1
A plane-wave DFT calculation with GGA-PBE was carried out for a relaxed structure of Ca5Sb2H2.

Unit cell a=12.664 b=5.154 c=7.074 alpha=90.00 beta=104.34 gamma=90.00
Space group C2/m (No. 12)
One atom of each set of equivalent atoms:
Ca  0.000  0.000  0.000 x2
Ca  0.152  0.000  0.543 x4
Ca  0.167  0.500  0.881 x4
Sb  0.093  0.500  0.288 x4
H  0.160  0.000  0.883 x4

Calculated volume   447 Å³/cell
Size of the total moment   0.000 μB/f.u.
Raw total energy   -3.40 eV per atom



No. 2
A plane-wave DFT calculation with GGA-PBE was carried out for a relaxed structure of Ca4Sb3H2.

Unit cell a=14.100 b=9.847 c=6.482 alpha=90.00 beta=99.53 gamma=90.00
Space group C2/c (No. 15)
One atom of each set of equivalent atoms:
Ca  0.115  0.198  0.008 x8
Ca  0.193  0.430  0.600 x8
Sb  0.000  0.459  0.250 x4
Sb  0.107  0.136  0.514 x8
H  0.221  0.372  0.943 x8

Calculated volume   888 Å³/cell
Size of the total moment   0.000 μB/f.u.
Raw total energy   -3.67 eV per atom



Please write out number 1 again, unchanged.
A plane-wave DFT calculation with GGA-PBE was carried out for a relaxed structure of Ca5Sb2H2.

Unit cell a=12.664 b=5.154 c=7.074 alpha=90.00 beta=104.34 gamma=90.00
Space group C2/m (No. 12)
One atom of each set of equivalent atoms:
Ca  0.000  0.000  0.000 x2
Ca  0.152  0.000  0.543 x4
Ca  0.167  0.500  0.881 x4
Sb  0.093  0.500  0.288 x4
H  0.160  0.000  0.883 x4

Calculated volume   447 Å³/cell
Size of the total moment   0.000 μB/f.u.
Raw total energy   -3.40 eV per atom



> What is the size of the total moment in the second record?

0.000 μB/f.u.